Crystalline Li3Mn2P3O12 at its relaxed geometry, computed with PBEsol.

a b c (Å): 8.5138 8.5583 12.0341
angles (deg): 90.00 93.83 90.00
With the nearest neighbours (Å) after each atom.
Sites, in units of the cell vectors:
Mn (0.2784, 0.9920, 0.6464)  4 O 1.83-1.97
Mn (0.2087, 0.4991, 0.3570)  5 O 1.87-2.04
Mn (0.7913, 0.4991, 0.1430)  5 O 1.87-2.04
Mn (0.2087, 0.5009, 0.8570)  5 O 1.87-2.04
Mn (0.7216, 0.0080, 0.3536)  4 O 1.83-1.97
Mn (0.7216, 0.9920, 0.8536)  4 O 1.83-1.97
Mn (0.7913, 0.5009, 0.6430)  5 O 1.87-2.04
Mn (0.2784, 0.0080, 0.1464)  4 O 1.83-1.97
O (0.9476, 0.0994, 0.8430)  1 P 1.55
O (0.7322, 0.5944, 0.7860)  1 P 1.54
O (0.1372, 0.6919, 0.3014)  1 P 1.54
O (0.2667, 0.0961, 0.2917)  1 P 1.54
O (0.2603, 0.4009, 0.0087)  1 P 1.55
O (0.3233, 0.3285, 0.4240)  1 P 1.56
O (0.6767, 0.3285, 0.0760)  1 P 1.56
O (0.7322, 0.4056, 0.2860)  1 P 1.54
O (0.9988, 0.5704, 0.8902)  1 P 1.51
O (0.8628, 0.3081, 0.6986)  1 P 1.54
O (0.7333, 0.0961, 0.2083)  1 P 1.54
O (0.7397, 0.5991, 0.9913)  1 P 1.55
O (0.2603, 0.5991, 0.5087)  1 P 1.55
O (0.2539, 0.9497, 0.9878)  1 P 1.56
O (0.0012, 0.4296, 0.1098)  1 P 1.51
O (0.5233, 0.1263, 0.4153)  1 P 1.53
O (0.8621, 0.1771, 0.3980)  1 P 1.58
O (0.3745, 0.8243, 0.1903)  1 P 1.53
O (0.5233, 0.8737, 0.9153)  1 P 1.53
O (0.6767, 0.6715, 0.5760)  1 P 1.56
O (0.2667, 0.9039, 0.7917)  1 P 1.54
O (0.7333, 0.9039, 0.7083)  1 P 1.54
O (0.5599, 0.6147, 0.1572)  1 P 1.55
O (0.7461, 0.9497, 0.5122)  1 P 1.56
O (0.1379, 0.8229, 0.6020)  1 P 1.58
O (0.2678, 0.5944, 0.7140)  1 P 1.54
O (0.4767, 0.8737, 0.5847)  1 P 1.53
O (0.1372, 0.3081, 0.8014)  1 P 1.54
O (0.2678, 0.4056, 0.2140)  1 P 1.54
O (0.3745, 0.1757, 0.6903)  1 P 1.53
O (0.4767, 0.1263, 0.0847)  1 P 1.53
O (0.1379, 0.1771, 0.1020)  1 P 1.58
O (0.5599, 0.3853, 0.6572)  1 P 1.55
O (0.8621, 0.8229, 0.8980)  1 P 1.58
O (0.6255, 0.1757, 0.8097)  1 P 1.53
O (0.0012, 0.5704, 0.6098)  1 P 1.51
O (0.6255, 0.8243, 0.3097)  1 P 1.53
O (0.3233, 0.6715, 0.9240)  1 P 1.56
O (0.2539, 0.0503, 0.4878)  1 P 1.56
O (0.0524, 0.0994, 0.6570)  1 P 1.55
O (0.9988, 0.4296, 0.3902)  1 P 1.51
O (0.8628, 0.6919, 0.1986)  1 P 1.54
O (0.7397, 0.4009, 0.4913)  1 P 1.55
O (0.4401, 0.6147, 0.3428)  1 P 1.55
O (0.9476, 0.9006, 0.3430)  1 P 1.55
O (0.7461, 0.0503, 0.0122)  1 P 1.56
O (0.4401, 0.3853, 0.8428)  1 P 1.55
O (0.0524, 0.9006, 0.1570)  1 P 1.55
P (0.8364, 0.3595, 0.3909)  4 O 1.51-1.58
P (0.0000, 0.7912, 0.2500)  4 O 1.54-1.55
P (0.5000, 0.2799, 0.7500)  4 O 1.53-1.55
P (0.6554, 0.8498, 0.5952)  4 O 1.53-1.56
P (0.1636, 0.3595, 0.1091)  4 O 1.51-1.58
P (0.0000, 0.2088, 0.7500)  4 O 1.54-1.55
P (0.1636, 0.6405, 0.6091)  4 O 1.51-1.58
P (0.8364, 0.6405, 0.8909)  4 O 1.51-1.58
P (0.6554, 0.1502, 0.0952)  4 O 1.53-1.56
P (0.5000, 0.7201, 0.2500)  4 O 1.53-1.55
P (0.3446, 0.8498, 0.9048)  4 O 1.53-1.56
P (0.3446, 0.1502, 0.4048)  4 O 1.53-1.56
Li (0.0000, 0.0000, 0.5000)  6 O 2.09-2.23
Li (0.0000, 0.0000, 0.0000)  6 O 2.09-2.23
Li (0.3291, 0.8015, 0.4511)  2 O 1.97-2.07
Li (0.5000, 0.4175, 0.2500)  4 O 2.00-2.11
Li (0.6709, 0.8015, 0.0489)  2 O 1.97-2.07
Li (0.0000, 0.0946, 0.2500)  6 O 2.07-2.31
Li (0.5000, 0.5825, 0.7500)  4 O 2.00-2.11
Li (0.3291, 0.1985, 0.9511)  2 O 1.97-2.07
Li (0.5000, 0.5000, 0.0000)  6 O 2.16-2.25
Li (0.5000, 0.5000, 0.5000)  6 O 2.16-2.25
Li (0.0000, 0.9054, 0.7500)  6 O 2.07-2.31
Li (0.6709, 0.1985, 0.5489)  2 O 1.97-2.07

Summary:
Total energy, eV per atom: -7.39
ΔE_f (raw), eV/f.u.: -42.06
Crystal system: monoclinic
Distance to the lowest polymorph of the same formula, meV per atom: 39.2



Crystalline Li2Mn3P4O14 at its relaxed geometry, computed with PBEsol.

a b c (Å): 5.6465 7.0796 7.3497
angles (deg): 74.44 84.43 65.74
With the nearest neighbours (Å) after each atom.
Sites, in units of the cell vectors:
P (0.3386, 0.2998, 0.9390)  4 O 1.52-1.61
P (0.7933, 0.2734, 0.3446)  4 O 1.52-1.62
P (0.2067, 0.7266, 0.6554)  4 O 1.52-1.62
P (0.6614, 0.7002, 0.0610)  4 O 1.52-1.61
O (0.9429, 0.3482, 0.4548)  1 P 1.54
O (0.3068, 0.5435, 0.8508)  2 P 1.61-1.62
O (0.6885, 0.7238, 0.8495)  1 P 1.52
O (0.3874, 0.8347, 0.1168)  1 P 1.53
O (0.3115, 0.2762, 0.1505)  1 P 1.52
O (0.6932, 0.4565, 0.1492)  2 P 1.61-1.62
O (0.4473, 0.7356, 0.5439)  1 P 1.53
O (0.5527, 0.2644, 0.4561)  1 P 1.53
O (0.1223, 0.2671, 0.8547)  1 P 1.54
O (0.6126, 0.1653, 0.8832)  1 P 1.53
O (0.9592, 0.0738, 0.2790)  1 P 1.52
O (0.8777, 0.7329, 0.1453)  1 P 1.54
O (0.0571, 0.6518, 0.5452)  1 P 1.54
O (0.0408, 0.9262, 0.7210)  1 P 1.52
Li (0.3370, 0.9851, 0.3099)  4 O 1.93-2.03
Li (0.6630, 0.0149, 0.6901)  4 O 1.93-2.03
Mn (0.0000, 0.0000, 0.0000)  6 O 2.15-2.25
Mn (0.8055, 0.5080, 0.6769)  5 O 2.09-2.14
Mn (0.1945, 0.4920, 0.3231)  5 O 2.09-2.14

Summary:
Total energy, eV per atom: -7.69
ΔE_f (raw), eV/f.u.: -46.99
Crystal system: triclinic
Distance to the lowest polymorph of the same formula, meV per atom: 18.8



Crystalline LiMn2P3O12 at its relaxed geometry, computed with PBEsol.

a b c (Å): 6.1119 8.3834 8.3834
angles (deg): 91.66 105.73 105.73
With the nearest neighbours (Å) after each atom.
Sites, in units of the cell vectors:
O (0.1688, 0.9427, 0.5894)  1 P 1.61
O (0.5911, 0.9707, 0.6433)  1 P 1.55
O (0.7733, 0.5435, 0.2537)  1 P 1.56
O (0.6082, 0.1900, 0.1663)  1 P 1.56
O (0.4089, 0.0293, 0.3567)  1 P 1.55
O (0.7155, 0.3174, 0.4646)  1 P 1.48
O (0.6688, 0.5894, 0.9427)  1 P 1.61
O (0.7845, 0.5354, 0.6826)  1 P 1.48
O (0.2733, 0.2537, 0.5435)  1 P 1.56
O (0.1082, 0.1663, 0.1900)  1 P 1.56
O (0.3312, 0.4106, 0.0573)  1 P 1.61
O (0.2845, 0.6826, 0.5354)  1 P 1.48
O (0.0242, 0.1492, 0.7426)  1 P 1.55
O (0.2155, 0.4646, 0.3174)  1 P 1.48
O (0.0911, 0.6433, 0.9707)  1 P 1.55
O (0.9089, 0.3567, 0.0293)  1 P 1.55
O (0.4758, 0.2574, 0.8508)  1 P 1.55
O (0.7267, 0.7463, 0.4565)  1 P 1.56
O (0.9758, 0.8508, 0.2574)  1 P 1.55
O (0.5242, 0.7426, 0.1492)  1 P 1.55
O (0.8918, 0.8337, 0.8100)  1 P 1.56
O (0.2267, 0.4565, 0.7463)  1 P 1.56
O (0.3918, 0.8100, 0.8337)  1 P 1.56
O (0.8312, 0.0573, 0.4106)  1 P 1.61
Mn (0.3627, 0.6192, 0.9412)  6 O 1.80-2.02
Mn (0.1373, 0.0588, 0.3808)  6 O 1.80-2.02
Mn (0.8627, 0.9412, 0.6192)  6 O 1.80-2.02
Mn (0.6373, 0.3808, 0.0588)  6 O 1.80-2.02
P (0.3584, 0.8392, 0.6473)  4 O 1.48-1.61
P (0.1416, 0.3527, 0.1608)  4 O 1.48-1.61
P (0.8584, 0.6473, 0.8392)  4 O 1.48-1.61
P (0.7500, 0.7233, 0.2767)  4 O 1.55-1.56
P (0.6416, 0.1608, 0.3527)  4 O 1.48-1.61
P (0.2500, 0.2767, 0.7233)  4 O 1.55-1.56
Li (0.5000, 0.5000, 0.5000)  2 O 1.92
Li (0.0000, 0.5000, 0.5000)  2 O 1.92

Summary:
Total energy, eV per atom: -7.61
ΔE_f (raw), eV/f.u.: -35.16
Crystal system: monoclinic
Distance to the lowest polymorph of the same formula, meV per atom: 62.8



Crystalline LiMn2P2O10 at its relaxed geometry, computed with PBEsol.

a b c (Å): 6.5998 6.7701 7.8210
angles (deg): 90.28 89.13 63.50
With the nearest neighbours (Å) after each atom.
Sites, in units of the cell vectors:
Mn (0.2533, 0.4966, 0.2519)  6 O 1.78-1.93
Mn (0.7533, 0.4966, 0.7519)  6 O 1.78-1.93
Mn (0.7486, 0.0024, 0.7504)  6 O 1.75-1.92
Mn (0.2486, 0.0024, 0.2505)  6 O 1.75-1.92
O (0.9573, 0.0709, 0.3257)  1 P 1.54
O (0.0685, 0.3492, 0.7684)  1 P 1.54
O (0.9278, 0.6461, 0.2334)  1 P 1.55
O (0.2703, 0.4189, 0.0157)  1 P 1.55
O (0.8686, 0.8744, 0.9676)  1 P 1.55
O (0.5529, 0.9243, 0.1836)  1 P 1.54
O (0.6501, 0.1059, 0.5275)  1 P 1.56
O (0.4277, 0.6462, 0.7335)  1 P 1.55
O (0.7702, 0.4189, 0.5157)  1 P 1.55
O (0.2132, 0.5921, 0.4808)  1 P 1.54
O (0.2740, 0.7390, 0.1780)  2 Mn 1.80, 1 Li 1.96
O (0.5686, 0.3492, 0.2684)  1 P 1.54
O (0.4572, 0.0709, 0.8257)  1 P 1.54
O (0.7253, 0.2588, 0.8195)  2 Mn 1.75-1.78
O (0.7740, 0.7389, 0.6780)  2 Mn 1.80, 1 Li 1.95
O (0.0528, 0.9243, 0.6835)  1 P 1.54
O (0.1501, 0.1060, 0.0276)  1 P 1.56
O (0.2254, 0.2588, 0.3195)  2 Mn 1.75-1.78
O (0.3686, 0.8743, 0.4676)  1 P 1.55
O (0.7132, 0.5921, 0.9809)  1 P 1.54
P (0.7651, 0.7575, 0.0844)  4 O 1.54-1.55
P (0.7369, 0.2405, 0.4127)  4 O 1.54-1.56
P (0.2369, 0.2405, 0.9127)  4 O 1.54-1.56
P (0.2650, 0.7575, 0.5844)  4 O 1.54-1.55
Li (0.2050, 0.7835, 0.9349)  4 O 1.96-2.17
Li (0.7053, 0.7827, 0.4349)  4 O 1.95-2.17

Summary:
Total energy, eV per atom: -7.60
ΔE_f (raw), eV/f.u.: -28.50
Crystal system: triclinic
Distance to the lowest polymorph of the same formula, meV per atom: 0.0